# Tb6Pm2PrSm3

Crystalline Tb6Pm2PrSm3 at its relaxed geometry (PBE, Alexandria). Values from VASP.

Cell and atoms, written as Quantum ESPRESSO input:
```
&SYSTEM
  ibrav = 0, nat = 12, ntyp = 4
/
ATOMIC_SPECIES
Tb 158.93 Tb.upf
Pm 145.00 Pm.upf
Pr 140.91 Pr.upf
Sm 150.36 Sm.upf
CELL_PARAMETERS angstrom
3.126 -5.414 0.000
3.126 5.414 0.000
-2.081 0.000 11.724
ATOMIC_POSITIONS crystal
Tb 0.082 0.416 0.249
Tb 0.250 0.250 0.751
Tb 0.416 0.082 0.249
Tb 0.584 0.918 0.751
Tb 0.750 0.750 0.249
Tb 0.918 0.584 0.751
Pm 0.167 0.833 0.500
Pm 0.833 0.167 0.500
Pr 0.500 0.500 0.500
Sm 0.000 0.000 0.000
Sm 0.333 0.667 0.000
Sm 0.667 0.333 0.000
```

Output
Space-group type: No. 12
D(E_F) in states/eV/f.u.: 14.9
Uncorrected energy in eV per atom: -4.67
M_tot in μB/f.u.: 0.00